Here is an optimized crystal structure of Nd6Al2Cu from the Alexandria database. Energies are from PBE.

Lattice parameters (Å, degrees): 5.1180 10.0285 10.0301 90.00 90.00 90.00
Closest atoms and distances in Å follow each position.
Fractional coordinates of all 18 atoms:
1 Nd 0.5001 0.1185 0.6182  2 Cu 3.06, 2 Al 3.32, 1 Nd 3.36
2 Al 0.5001 0.7981 0.7023  8 Nd 3.22-3.32
3 Nd 0.5000 0.8097 0.0233  1 Cu 3.11, 3 Al 3.22-3.31
4 Cu 0.0000 0.0000 0.5000  8 Nd 3.06-3.11
5 Nd 0.4999 0.4770 0.6904  1 Cu 3.11, 3 Al 3.22-3.31
6 Al 0.9999 0.2981 0.7977  8 Nd 3.22-3.32
7 Nd 0.0001 0.3815 0.1182  2 Cu 3.06, 2 Al 3.32, 1 Nd 3.36
8 Al 0.4999 0.2019 0.2977  8 Nd 3.22-3.32
9 Nd 0.0001 0.9770 0.8096  1 Cu 3.11, 3 Al 3.22-3.31
10 Nd 0.9999 0.6185 0.8818  2 Cu 3.06, 2 Al 3.32, 1 Nd 3.36
11 Cu 0.5000 0.5000 0.0000  8 Nd 3.06-3.11
12 Nd 0.5001 0.5230 0.3096  1 Cu 3.11, 3 Al 3.22-3.31
13 Nd 0.5000 0.1903 0.9767  1 Cu 3.11, 3 Al 3.22-3.31
14 Nd 0.0000 0.3097 0.4767  1 Cu 3.11, 3 Al 3.22-3.31
15 Nd 0.9999 0.0230 0.1904  1 Cu 3.11, 3 Al 3.22-3.31
16 Nd 0.4999 0.8815 0.3818  2 Cu 3.06, 2 Al 3.32, 1 Nd 3.36
17 Nd 0.0000 0.6903 0.5233  1 Cu 3.11, 3 Al 3.22-3.31
18 Al 0.0001 0.7019 0.2023  8 Nd 3.22-3.32

Properties
- Symmetry: P4_2/mnm, No. 136
- Crystal system: tetragonal
- Calculated formation energy: -0.1598 eV/atom